# 1
An optimized crystal structure of NaCoGePb, computed with PBE.

Total magnetization: 0.423 μB/atom
Offset from the most stable computed form: 208.4 meV/atom
Calculated density: 7.5 g/cm³
Energy: -3.65 eV/atom

a b c (Å): 6.831 6.831 6.831
angles (deg): 90.00 90.00 90.00
Space group F-43m (No. 216)
One atom of each set of equivalent atoms:
Na 0.000 0.000 0.000
Co 0.250 0.250 0.250
Ge 0.250 0.250 0.750
Pb 0.000 0.000 0.500



# 2
An optimized crystal structure of NaCoGePb, computed with PBE.

Total magnetization: 0.002 μB/atom
Offset from the most stable computed form: 0.0 meV/atom
Calculated density: 8.2 g/cm³
Energy: -3.86 eV/atom

a b c (Å): 6.633 6.633 6.633
angles (deg): 90.00 90.00 90.00
Space group F-43m (No. 216)
One atom of each set of equivalent atoms:
Na 0.000 0.000 0.000
Co 0.000 0.000 0.500
Ge 0.250 0.250 0.750
Pb 0.250 0.250 0.250